Record 1
# PBE RbMgCl, relaxed
# Energy relative to the elements, uncorrected, meV per atom: -1034
# ρ, g cm⁻³: 2.403
# Space group: I4mm (107)
# Spin magnetization, μB/cell: 0.00
data_RbMgCl
_space_group_name_H-M_alt 'P 1'
_space_group_IT_number 1
_space_group_name_Hall 'P 1'
_cell_length_a 3.959
_cell_length_b 3.959
_cell_length_c 25.603
_cell_angle_alpha 90.00
_cell_angle_beta 90.00
_cell_angle_gamma 90.00
loop_
_atom_site_label
_atom_site_type_symbol
_atom_site_fract_x
_atom_site_fract_y
_atom_site_fract_z
Cl1 Cl 0.000 0.000 0.556
Cl2 Cl 0.500 0.500 0.904
Mg1 Mg 0.500 0.500 0.708
Cl3 Cl 0.000 0.000 0.404
Mg2 Mg 0.500 0.500 0.151
Rb1 Rb 0.500 0.500 0.489
Mg3 Mg 0.000 0.000 0.651
Rb2 Rb 0.000 0.000 0.989
Mg4 Mg 0.000 0.000 0.208
Rb3 Rb 0.000 0.000 0.832
Rb4 Rb 0.500 0.500 0.332
Cl4 Cl 0.500 0.500 0.056

Record 2
# PBE Cd4Cl3F4, relaxed
# Energy relative to the elements, uncorrected, meV per atom: -1442
# ρ, g cm⁻³: 5.559
# Space group: Immm (71)
# Spin magnetization, μB/cell: 0.00
data_Cd4Cl3F4
_space_group_name_H-M_alt 'P 1'
_space_group_IT_number 1
_space_group_name_Hall 'P 1'
_cell_length_a 3.621
_cell_length_b 7.738
_cell_length_c 7.979
_cell_angle_alpha 119.01
_cell_angle_beta 103.11
_cell_angle_gamma 90.00
loop_
_atom_site_label
_atom_site_type_symbol
_atom_site_fract_x
_atom_site_fract_y
_atom_site_fract_z
Cl1 Cl 0.122 0.122 0.244
Cd1 Cd 0.500 0.778 0.000
F1 F 0.333 0.155 0.666
Cd2 Cd 0.219 0.719 0.439
Cd3 Cd 0.500 0.222 0.000
F2 F 0.333 0.510 0.666
F3 F 0.667 0.845 0.334
Cd4 Cd 0.781 0.281 0.561
Cl2 Cl 0.000 0.500 0.000
F4 F 0.667 0.490 0.334
Cl3 Cl 0.878 0.878 0.756

Record 3
# PBE TbNi2GeH, relaxed
# Total energy, eV/atom: -5.454
# ρ, g cm⁻³: 8.690
# Space group: Cmcm (63)
# Spin magnetization, μB/cell: 0.00
data_TbNi2GeH
_space_group_name_H-M_alt 'P 1'
_space_group_IT_number 1
_space_group_name_Hall 'P 1'
_cell_length_a 3.801
_cell_length_b 5.487
_cell_length_c 6.837
_cell_angle_alpha 90.00
_cell_angle_beta 90.00
_cell_angle_gamma 110.27
loop_
_atom_site_label
_atom_site_type_symbol
_atom_site_fract_x
_atom_site_fract_y
_atom_site_fract_z
Ge1 Ge 0.276 0.553 0.250
Ni1 Ni 0.840 0.679 0.443
Tb1 Tb 0.560 0.119 0.250
Ni2 Ni 0.840 0.679 0.057
H1 H 0.000 0.000 0.000
Ni3 Ni 0.160 0.321 0.557
H2 H 0.000 0.000 0.500
Tb2 Tb 0.440 0.881 0.750
Ge2 Ge 0.724 0.447 0.750
Ni4 Ni 0.160 0.321 0.943

Record 4
# PBE MgCu4Ag, relaxed
# Energy relative to the elements, eV/atom: -0.068
# ρ, g cm⁻³: 7.503
# Space group: F-43m (216)
# Spin magnetization, μB/cell: 0.00
data_MgCu4Ag
_space_group_name_H-M_alt 'P 1'
_space_group_IT_number 1
_space_group_name_Hall 'P 1'
_cell_length_a 4.945
_cell_length_b 4.945
_cell_length_c 4.945
_cell_angle_alpha 60.00
_cell_angle_beta 60.00
_cell_angle_gamma 60.00
loop_
_atom_site_label
_atom_site_type_symbol
_atom_site_fract_x
_atom_site_fract_y
_atom_site_fract_z
Cu1 Cu 0.375 0.875 0.375
Cu2 Cu 0.375 0.375 0.875
Mg1 Mg 0.750 0.750 0.750
Cu3 Cu 0.875 0.375 0.375
Cu4 Cu 0.375 0.375 0.375
Ag1 Ag 0.000 0.000 0.000

For reference, volume by record: 401.4, 188.8, 133.8, 85.5 Å³ per cell.